Record 1
Below is an optimized crystal structure of CdPO2, with properties calculated at the PBE level.

Calculated values
- total magnetic moment (Bohr magnetons per cell) = 0.000
- ΔE to the lowest computed polymorph (meV/atom) = 307

Cell and atoms, written as CIF:
```
data_CdPO2
_space_group_name_H-M_alt 'P 1'
_space_group_IT_number 1
_space_group_name_Hall 'P 1'
_cell_length_a 4.5958
_cell_length_b 4.5958
_cell_length_c 6.5221
_cell_angle_alpha 69.37
_cell_angle_beta 69.37
_cell_angle_gamma 90.00
loop_
_atom_site_label
_atom_site_type_symbol
_atom_site_fract_x
_atom_site_fract_y
_atom_site_fract_z
_atom_site_occupancy
O1 O 0.3750 0.4334 0.7500 1
O2 O 0.8750 0.8166 0.7500 1
O3 O 0.5666 0.1250 0.2500 1
O4 O 0.1834 0.6250 0.2500 1
Cd1 Cd 0.7500 0.2500 0.5000 1
Cd2 Cd 0.0000 0.0000 0.0000 1
P1 P 0.2500 0.7500 0.5000 1
P2 P 0.5000 0.5000 0.0000 1
```

Record 2
Below is an optimized crystal structure of Cd2P6O17, with properties calculated at the PBE level.

Calculated values
- total magnetic moment (Bohr magnetons per cell) = 0.000

Cell and atoms, written as CIF:
```
data_Cd2P6O17
_space_group_name_H-M_alt 'P 1'
_space_group_IT_number 1
_space_group_name_Hall 'P 1'
_cell_length_a 18.4001
_cell_length_b 5.6191
_cell_length_c 7.7044
_cell_angle_alpha 68.79
_cell_angle_beta 90.00
_cell_angle_gamma 90.00
loop_
_atom_site_label
_atom_site_type_symbol
_atom_site_fract_x
_atom_site_fract_y
_atom_site_fract_z
_atom_site_occupancy
O1 O 0.4898 0.7299 0.2266 1
O2 O 0.0000 0.5000 0.5000 1
O3 O 0.9876 0.7678 0.1606 1
O4 O 0.1171 0.4911 0.6570 1
O5 O 0.6379 0.0488 0.0778 1
O6 O 0.9898 0.2701 0.2734 1
O7 O 0.3829 0.4911 0.1570 1
O8 O 0.6654 0.0694 0.4682 1
O9 O 0.5102 0.2701 0.7734 1
O10 O 0.7620 0.3950 0.4630 1
O11 O 0.1654 0.9306 0.0318 1
O12 O 0.5000 0.5000 0.0000 1
O13 O 0.5124 0.7678 0.6606 1
O14 O 0.8346 0.0694 0.9682 1
O15 O 0.8686 0.5223 0.9621 1
O16 O 0.0102 0.7299 0.7266 1
O17 O 0.8621 0.0488 0.5778 1
O18 O 0.3686 0.4777 0.5379 1
O19 O 0.1872 0.8191 0.7497 1
O20 O 0.6872 0.1809 0.7503 1
O21 O 0.3621 0.9512 0.9222 1
O22 O 0.1314 0.4777 0.0379 1
O23 O 0.6314 0.5223 0.4621 1
O24 O 0.3128 0.8191 0.2497 1
O25 O 0.2620 0.6050 0.0370 1
O26 O 0.0124 0.2322 0.8394 1
O27 O 0.8829 0.5089 0.3430 1
O28 O 0.3346 0.9306 0.5318 1
O29 O 0.2380 0.6050 0.5370 1
O30 O 0.6171 0.5089 0.8430 1
O31 O 0.4876 0.2322 0.3394 1
O32 O 0.7380 0.3950 0.9630 1
O33 O 0.8128 0.1809 0.2503 1
O34 O 0.1379 0.9512 0.4222 1
P1 P 0.4703 0.4910 0.1954 1
P2 P 0.6787 0.2941 0.5230 1
P3 P 0.9703 0.5090 0.3046 1
P4 P 0.0297 0.4910 0.6954 1
P5 P 0.8322 0.2634 0.4197 1
P6 P 0.6678 0.2634 0.9197 1
P7 P 0.1678 0.7366 0.5803 1
P8 P 0.3213 0.7059 0.4770 1
P9 P 0.8213 0.2941 0.0230 1
P10 P 0.1787 0.7059 0.9770 1
P11 P 0.3322 0.7366 0.0803 1
P12 P 0.5297 0.5090 0.8046 1
Cd1 Cd 0.0738 0.0958 0.1424 1
Cd2 Cd 0.9262 0.9042 0.8576 1
Cd3 Cd 0.5738 0.9042 0.3576 1
Cd4 Cd 0.4262 0.0958 0.6424 1
```

Record 3
Below is an optimized crystal structure of Cd2PO6, with properties calculated at the PBE level.

Calculated values
- total magnetic moment (Bohr magnetons per cell) = 6.121

Cell and atoms, written as CIF:
```
data_Cd2PO6
_space_group_name_H-M_alt 'P 1'
_space_group_IT_number 1
_space_group_name_Hall 'P 1'
_cell_length_a 4.8344
_cell_length_b 4.8344
_cell_length_c 9.5327
_cell_angle_alpha 90.00
_cell_angle_beta 90.00
_cell_angle_gamma 90.00
loop_
_atom_site_label
_atom_site_type_symbol
_atom_site_fract_x
_atom_site_fract_y
_atom_site_fract_z
_atom_site_occupancy
O1 O 0.3290 0.3290 0.3723 1
O2 O 0.8290 0.1710 0.1277 1
O3 O 0.1710 0.8290 0.8723 1
O4 O 0.8290 0.1710 0.8723 1
O5 O 0.2526 0.7474 0.5000 1
O6 O 0.1710 0.8290 0.1277 1
O7 O 0.2474 0.2474 0.0000 1
O8 O 0.7474 0.2526 0.5000 1
O9 O 0.7526 0.7526 0.0000 1
O10 O 0.6710 0.6710 0.6277 1
O11 O 0.3290 0.3290 0.6277 1
O12 O 0.6710 0.6710 0.3723 1
Cd1 Cd 0.5000 0.5000 0.1657 1
Cd2 Cd 0.0000 0.0000 0.6657 1
Cd3 Cd 0.0000 0.0000 0.3343 1
Cd4 Cd 0.5000 0.5000 0.8343 1
P1 P 0.0000 0.0000 0.0000 1
P2 P 0.5000 0.5000 0.5000 1
```

Record 4
Below is an optimized crystal structure of Cd5P3O13, with properties calculated at the PBE level.

Calculated values
- total magnetic moment (Bohr magnetons per cell) = 2.167

Cell and atoms, written as CIF:
```
data_Cd5P3O13
_space_group_name_H-M_alt 'P 1'
_space_group_IT_number 1
_space_group_name_Hall 'P 1'
_cell_length_a 6.6278
_cell_length_b 9.6485
_cell_length_c 9.6486
_cell_angle_alpha 120.00
_cell_angle_beta 90.00
_cell_angle_gamma 90.00
loop_
_atom_site_label
_atom_site_type_symbol
_atom_site_fract_x
_atom_site_fract_y
_atom_site_fract_z
_atom_site_occupancy
P1 P 0.7470 0.3746 0.9769 1
P2 P 0.7470 0.6023 0.6254 1
P3 P 0.2470 0.6254 0.0231 1
P4 P 0.2470 0.9769 0.6023 1
P5 P 0.7470 0.0231 0.3977 1
P6 P 0.2470 0.3977 0.3746 1
O1 O 0.5599 0.0744 0.3365 1
O2 O 0.4342 0.7378 0.0745 1
O3 O 0.5599 0.6635 0.7378 1
O4 O 0.2469 0.8747 0.4138 1
O5 O 0.5599 0.2622 0.9256 1
O6 O 0.0599 0.7378 0.0744 1
O7 O 0.4342 0.3368 0.2622 1
O8 O 0.7469 0.1253 0.5862 1
O9 O 0.7471 0.6608 0.5028 1
O10 O 0.9342 0.6632 0.7378 1
O11 O 0.2469 0.5862 0.4609 1
O12 O 0.7471 0.4972 0.1580 1
O13 O 0.4342 0.9255 0.6632 1
O14 O 0.7469 0.4609 0.8747 1
O15 O 0.0599 0.3365 0.2622 1
O16 O 0.2471 0.1580 0.6608 1
O17 O 0.7471 0.8420 0.3392 1
O18 O 0.2471 0.5028 0.8420 1
O19 O 0.9342 0.2622 0.9255 1
O20 O 0.2469 0.5391 0.1253 1
O21 O 0.0599 0.9256 0.6635 1
O22 O 0.2473 0.0000 0.0000 1
O23 O 0.9342 0.0745 0.3368 1
O24 O 0.7473 0.0000 0.0000 1
O25 O 0.7469 0.4138 0.5391 1
O26 O 0.2471 0.3392 0.4972 1
Cd1 Cd 0.7470 0.2355 0.2486 1
Cd2 Cd 0.9980 0.3333 0.6667 1
Cd3 Cd 0.2470 0.7645 0.7514 1
Cd4 Cd 0.7470 0.0131 0.7645 1
Cd5 Cd 0.2470 0.9869 0.2355 1
Cd6 Cd 0.7470 0.7514 0.9869 1
Cd7 Cd 0.2470 0.2486 0.0131 1
Cd8 Cd 0.9961 0.6667 0.3333 1
Cd9 Cd 0.4980 0.6667 0.3333 1
Cd10 Cd 0.4961 0.3333 0.6667 1
```

Record 5
Below is an optimized crystal structure of CdPO2, with properties calculated at the PBE level.

Calculated values
- total magnetic moment (Bohr magnetons per cell) = 0.000
- ΔE to the lowest computed polymorph (meV/atom) = 817

Cell and atoms, written as CIF:
```
data_CdPO2
_space_group_name_H-M_alt 'P 1'
_space_group_IT_number 1
_space_group_name_Hall 'P 1'
_cell_length_a 4.0796
_cell_length_b 4.0796
_cell_length_c 4.0796
_cell_angle_alpha 60.00
_cell_angle_beta 60.00
_cell_angle_gamma 60.00
loop_
_atom_site_label
_atom_site_type_symbol
_atom_site_fract_x
_atom_site_fract_y
_atom_site_fract_z
_atom_site_occupancy
O1 O 0.7500 0.7500 0.7500 1
O2 O 0.2500 0.2500 0.2500 1
Cd1 Cd 0.5000 0.5000 0.5000 1
P1 P 0.0000 0.0000 0.0000 1
```

Record 6
Below is an optimized crystal structure of PaCd2PO8, with properties calculated at the PBE level.

Calculated values
- total magnetic moment (Bohr magnetons per cell) = 0.000

Cell and atoms, written as CIF:
```
data_PaCd2PO8
_space_group_name_H-M_alt 'P 1'
_space_group_IT_number 1
_space_group_name_Hall 'P 1'
_cell_length_a 4.2378
_cell_length_b 5.2313
_cell_length_c 6.5691
_cell_angle_alpha 93.83
_cell_angle_beta 91.07
_cell_angle_gamma 85.94
loop_
_atom_site_label
_atom_site_type_symbol
_atom_site_fract_x
_atom_site_fract_y
_atom_site_fract_z
_atom_site_occupancy
O1 O 0.3817 0.1072 0.9842 1
O2 O 0.8986 0.2046 0.8165 1
O3 O 0.9177 0.2282 0.1955 1
O4 O 0.6254 0.7579 0.4846 1
O5 O 0.6183 0.8928 0.0158 1
O6 O 0.0823 0.7718 0.8045 1
O7 O 0.1014 0.7954 0.1835 1
O8 O 0.3746 0.2421 0.5154 1
Pa1 Pa 0.0000 0.0000 0.5000 1
Cd1 Cd 0.4448 0.4617 0.2321 1
Cd2 Cd 0.5552 0.5383 0.7679 1
P1 P 0.0000 0.0000 0.0000 1
```

Record 7
Below is an optimized crystal structure of PaCdP2O8, with properties calculated at the PBE level.

Calculated values
- total magnetic moment (Bohr magnetons per cell) = 0.852

Cell and atoms, written as CIF:
```
data_PaCdP2O8
_space_group_name_H-M_alt 'P 1'
_space_group_IT_number 1
_space_group_name_Hall 'P 1'
_cell_length_a 5.5182
_cell_length_b 5.5182
_cell_length_c 7.8140
_cell_angle_alpha 90.00
_cell_angle_beta 90.00
_cell_angle_gamma 120.00
loop_
_atom_site_label
_atom_site_type_symbol
_atom_site_fract_x
_atom_site_fract_y
_atom_site_fract_z
_atom_site_occupancy
O1 O 0.8178 0.6355 0.1654 1
O2 O 0.1822 0.3645 0.8346 1
O3 O 0.3333 0.6667 0.5624 1
O4 O 0.6667 0.3333 0.4376 1
O5 O 0.8178 0.1822 0.1654 1
O6 O 0.3645 0.1822 0.1654 1
O7 O 0.6355 0.8178 0.8346 1
O8 O 0.1822 0.8178 0.8346 1
P1 P 0.3333 0.6667 0.7534 1
P2 P 0.6667 0.3333 0.2466 1
Pa1 Pa 0.0000 0.0000 0.0000 1
Cd1 Cd 0.0000 0.0000 0.5000 1
```

Record 8
Below is an optimized crystal structure of PaCdPO6, with properties calculated at the PBE level.

Calculated values
- total magnetic moment (Bohr magnetons per cell) = 0.000

Cell and atoms, written as CIF:
```
data_PaCdPO6
_space_group_name_H-M_alt 'P 1'
_space_group_IT_number 1
_space_group_name_Hall 'P 1'
_cell_length_a 5.3023
_cell_length_b 5.3023
_cell_length_c 4.7572
_cell_angle_alpha 90.00
_cell_angle_beta 90.00
_cell_angle_gamma 60.00
loop_
_atom_site_label
_atom_site_type_symbol
_atom_site_fract_x
_atom_site_fract_y
_atom_site_fract_z
_atom_site_occupancy
O1 O 0.0609 0.3367 0.2922 1
O2 O 0.3367 0.6023 0.2922 1
O3 O 0.3367 0.0610 0.7078 1
O4 O 0.0609 0.6023 0.7078 1
O5 O 0.6023 0.3367 0.7078 1
O6 O 0.6023 0.0610 0.2922 1
Pa1 Pa 0.6666 0.6667 0.5000 1
P1 P 0.3333 0.3333 0.5000 1
Cd1 Cd 0.0000 0.0000 0.0000 1
```

Number 1: formation energy from raw total energies -0.441 eV per atom. Number 2: formation energy from raw total energies -1.979 eV per atom. Number 3: formation energy from raw total energies -0.967 eV per atom. Number 4: formation energy from raw total energies -1.674 eV per atom. Number 5: formation energy from raw total energies 0.069 eV per atom. Number 6: formation energy from raw total energies -1.800 eV per atom. Number 7: formation energy from raw total energies -2.335 eV per atom. Number 8: formation energy from raw total energies -2.206 eV per atom.